Run P
{
  "formula": "PmInCu",
  "functional": "PBE",
  "state": "relaxed",
  "lattice": [[-2.6433, 1.5835, 1.3975], [-0.2123, -2.4266, 2.3481], [5.0841, 3.4611, 1.5990]],
  "species": ["Cu", "Pm", "In"],
  "fractional_positions": [[0.2721, 0.2721, 0.5442], [0.9364, 0.9364, 0.8727], [0.6415, 0.6415, 0.2831]],
  "magnetic_moment_mub_per_cell": 0.0,
  "n_ef_per_ev_cell": 1.994,
  "spacegroup": "I4mm (107)",
  "density_g_cm3": 7.97
}

***

Run Q
{
  "formula": "PmInCu",
  "functional": "PBE",
  "state": "relaxed",
  "lattice": [[4.7072, 0.0000, 0.0000], [2.3536, 4.0765, 0.0000], [2.3536, 1.3588, 3.8434]],
  "species": ["Pm", "In", "Cu"],
  "fractional_positions": [[0.0000, 0.0000, 0.0000], [0.5000, 0.5000, 0.5000], [0.2500, 0.2500, 0.2500]],
  "magnetic_moment_mub_per_cell": 0.0,
  "n_ef_per_ev_cell": 4.345,
  "spacegroup": "F-43m (216)",
  "density_g_cm3": 7.28
}

***

Tell me which of them is the least stable. Sure, it is run P.

***

Run P
{
  "formula": "PmInCu",
  "functional": "PBE",
  "state": "relaxed",
  "lattice": [[-3.2590, 3.6653, 1.4526], [-2.8592, -2.1421, -1.0096], [-1.6597, -3.9807, 6.3208]],
  "species": ["In", "Pm", "Cu", "Pm", "Cu", "In"],
  "fractional_positions": [[0.2500, 0.2203, 0.5594], [0.2500, 0.9136, 0.1729], [0.7500, 0.4359, 0.1282], [0.7500, 0.0864, 0.8271], [0.2500, 0.5641, 0.8718], [0.7500, 0.7797, 0.4406]],
  "magnetic_moment_mub_per_cell": 0.0,
  "n_ef_per_ev_cell": 2.438,
  "spacegroup": "Cmcm (63)",
  "density_g_cm3": 7.62
}

***

Run Q
{
  "formula": "PmInCu",
  "functional": "PBE",
  "state": "relaxed",
  "lattice": [[4.6987, 0.0000, 0.0000], [0.0000, 7.7864, 0.0000], [0.0000, 0.0000, 7.5072]],
  "species": ["Pm", "Pm", "Cu", "Cu", "Cu", "In", "Pm", "In", "In", "Cu", "Pm", "In"],
  "fractional_positions": [[0.2500, 0.7972, 0.4835], [0.7500, 0.2972, 0.0165], [0.7500, 0.9179, 0.8043], [0.7500, 0.5821, 0.3043], [0.2500, 0.4179, 0.6957], [0.2500, 0.4111, 0.3109], [0.2500, 0.7028, 0.9835], [0.2500, 0.0889, 0.8109], [0.7500, 0.9111, 0.1891], [0.2500, 0.0821, 0.1957], [0.7500, 0.2028, 0.5165], [0.7500, 0.5889, 0.6891]],
  "magnetic_moment_mub_per_cell": 0.0,
  "n_ef_per_ev_cell": 11.090,
  "spacegroup": "Pnma (62)",
  "density_g_cm3": 7.82
}

***

Tell me which of them is the least stable. Sure, it is run P.

***

Run P
{
  "formula": "Pr8InCu2",
  "functional": "PBE",
  "state": "relaxed",
  "lattice": [[0.3214, 2.5720, -4.4173], [7.8135, 1.0017, 1.1518], [-2.2691, -8.7449, -2.2877]],
  "species": ["Pr", "Pr", "Cu", "Pr", "Pr", "Pr", "In", "Cu", "Pr", "Pr", "Pr"],
  "fractional_positions": [[0.9556, 0.2367, 0.9112], [0.1858, 0.2940, 0.3717], [0.1876, 0.6599, 0.3753], [0.8142, 0.7060, 0.6283], [0.0444, 0.7633, 0.0888], [0.5933, 0.4682, 0.1866], [0.5000, 0.0000, 0.0000], [0.8124, 0.3401, 0.6247], [0.6823, 0.9810, 0.3646], [0.4067, 0.5318, 0.8134], [0.3177, 0.0190, 0.6354]],
  "magnetic_moment_mub_per_cell": 0.0,
  "n_ef_per_ev_cell": 11.058,
  "spacegroup": "C2/m (12)",
  "density_g_cm3": 6.82
}

***

Run Q
{
  "formula": "Pr8InCu2",
  "functional": "PBE",
  "state": "relaxed",
  "lattice": [[-4.4181, 3.3378, 0.3804], [-3.8987, -7.3660, 0.7138], [4.0708, 2.4810, 6.8731]],
  "species": ["Cu", "Cu", "Pr", "Pr", "Pr", "Pr", "Pr", "Pr", "Pr", "In", "Pr"],
  "fractional_positions": [[0.0000, 0.6887, 0.3113], [0.0000, 0.3113, 0.6887], [0.9224, 0.6815, 0.9250], [0.0776, 0.0750, 0.3185], [0.5000, 0.7565, 0.2435], [0.5000, 0.2435, 0.7565], [0.6924, 0.3939, 0.3939], [0.9224, 0.9250, 0.6815], [0.0776, 0.3185, 0.0750], [0.5000, 0.0000, 0.0000], [0.3076, 0.6061, 0.6061]],
  "magnetic_moment_mub_per_cell": 0.0,
  "n_ef_per_ev_cell": 15.594,
  "spacegroup": "C2/m (12)",
  "density_g_cm3": 6.72
}

***

Tell me which of them is the least stable. Sure, it is run Q.

***

Run P
{
  "formula": "Pr4InCu",
  "functional": "PBE",
  "state": "relaxed",
  "lattice": [[5.0885, 0.0000, -2.2057], [0.0000, 7.3229, 0.0000], [-0.1630, 0.0000, 9.7282]],
  "species": ["Pr", "Pr", "Pr", "Cu", "Pr", "Cu", "Pr", "In", "Pr", "Pr", "Pr", "In"],
  "fractional_positions": [[0.6655, 0.2500, 0.8713], [0.9048, 0.0210, 0.2341], [0.3345, 0.7500, 0.1287], [0.1828, 0.2500, 0.5510], [0.3971, 0.7500, 0.5421], [0.8172, 0.7500, 0.4490], [0.0952, 0.9790, 0.7659], [0.6883, 0.7500, 0.9134], [0.6029, 0.2500, 0.4579], [0.0952, 0.5210, 0.7659], [0.9048, 0.4790, 0.2341], [0.3117, 0.2500, 0.0866]],
  "magnetic_moment_mub_per_cell": 0.0,
  "n_ef_per_ev_cell": 14.062,
  "spacegroup": "P2_1/m (11)",
  "density_g_cm3": 6.85
}

***

Run Q
{
  "formula": "Pr4InCu",
  "functional": "PBE",
  "state": "relaxed",
  "lattice": [[-3.5889, 3.4200, -3.8252], [4.4425, -3.6088, -7.3946], [-3.1539, -5.5152, 0.7968]],
  "species": ["Pr", "Cu", "Pr", "In", "Pr", "Pr", "In", "Pr", "Pr", "Cu", "Pr", "Pr"],
  "fractional_positions": [[0.8727, 0.1736, 0.4060], [0.0000, 0.5000, 0.5000], [0.4414, 0.1538, 0.8844], [0.5000, 0.5000, 0.0000], [0.6273, 0.6736, 0.5940], [0.9414, 0.3462, 0.8844], [0.0000, 0.0000, 0.0000], [0.1273, 0.8264, 0.5940], [0.5586, 0.8462, 0.1156], [0.5000, 0.0000, 0.5000], [0.0586, 0.6538, 0.1156], [0.3727, 0.3264, 0.4060]],
  "magnetic_moment_mub_per_cell": 0.0,
  "n_ef_per_ev_cell": 13.157,
  "spacegroup": "P2_1/c (14)",
  "density_g_cm3": 6.81
}

***

Tell me which of them is the least stable. Sure, it is run Q.

***

Run P
{
  "formula": "InCu3Pt",
  "functional": "PBE",
  "state": "relaxed",
  "lattice": [[4.6687, 0.0000, 0.0000], [0.0000, 4.6687, 0.0000], [0.0000, 0.0000, 4.6687]],
  "species": ["Cu", "Cu", "Cu", "In", "Pt"],
  "fractional_positions": [[0.0000, 0.5000, 0.0000], [0.5000, 0.0000, 0.0000], [0.0000, 0.0000, 0.5000], [0.0000, 0.0000, 0.0000], [0.5000, 0.5000, 0.5000]],
  "magnetic_moment_mub_per_cell": 0.0,
  "n_ef_per_ev_cell": 2.065,
  "spacegroup": "Pm-3m (221)",
  "density_g_cm3": 8.17
}

***

Run Q
{
  "formula": "InCu3Pt",
  "functional": "PBE",
  "state": "relaxed",
  "lattice": [[-2.0202, -3.8795, 1.8239], [-0.8982, -1.5884, -4.3736], [4.1917, -2.2101, -0.0582]],
  "species": ["Cu", "Cu", "In", "Cu", "Pt"],
  "fractional_positions": [[0.0000, 0.5000, 0.0000], [0.5000, 0.0000, 0.0000], [0.5000, 0.5000, 0.5000], [0.0000, 0.0000, 0.5000], [0.0000, 0.0000, 0.0000]],
  "magnetic_moment_mub_per_cell": 0.0,
  "n_ef_per_ev_cell": 2.477,
  "spacegroup": "Pm-3m (221)",
  "density_g_cm3": 7.81
}

***

Tell me which of them is the least stable. Sure, it is run P.

***

Run P
{
  "formula": "InCuPt",
  "functional": "PBE",
  "state": "relaxed",
  "lattice": [[-4.2216, 0.5583, 0.9594], [-2.9409, -2.9566, -1.2899], [-1.9304, -2.5849, 2.9404]],
  "species": ["Pt", "In", "Cu"],
  "fractional_positions": [[0.2500, 0.2500, 0.2500], [0.5000, 0.5000, 0.5000], [0.0000, 0.0000, 0.0000]],
  "magnetic_moment_mub_per_cell": 0.0,
  "n_ef_per_ev_cell": 0.954,
  "spacegroup": "F-43m (216)",
  "density_g_cm3": 10.54
}

***

Run Q
{
  "formula": "InCuPt",
  "functional": "PBE",
  "state": "relaxed",
  "lattice": [[-4.0699, 0.5538, -2.6882], [-2.4902, -2.3144, -3.5411], [-2.5360, -1.7950, 1.3400]],
  "species": ["In", "Pt", "Cu"],
  "fractional_positions": [[0.3341, 0.3341, 0.6659], [0.6611, 0.6611, 0.3389], [0.0048, 0.0048, 0.9952]],
  "magnetic_moment_mub_per_cell": 0.0,
  "n_ef_per_ev_cell": 0.893,
  "spacegroup": "I4mm (107)",
  "density_g_cm3": 12.64
}

***

Tell me which of them is the least stable. Sure, it is run P.